(1)
The following is a DFT calculation (PBE) of Sm5Y4Tm after structural relaxation.

Cell lengths 10.6026, 10.6026, 6.0062 Å; angles 90.00, 90.00, 90.00 degrees
With the nearest neighbours (Å) after each atom.
Space group I4mm (No. 107)
Inequivalent atoms, fractional coordinates:
1 Sm 0.0000 0.0000 0.0000 x2  1 Tm 2.81
2 Sm 0.1879 0.1879 0.2673 x8  1 Tm 3.24, 3 Sm 3.24-3.53, 2 Y 3.31
3 Y 0.0000 0.3228 0.7591 x8  2 Sm 3.31, 1 Tm 3.68
4 Tm 0.0000 0.0000 0.5320 x2  1 Sm 2.81

Its total energy is -102.88 eV per cell. Its size of the total moment is 0.00 μB/cell. For the energy of formation from the pure elements, the calculation gives 0.248 eV per atom.

***

(2)
The following is a DFT calculation (PBE) of Sm6Y3Tm2 after structural relaxation.

Cell lengths 3.5901, 3.5901, 96.1718 Å; angles 90.00, 90.00, 120.00 degrees
With the nearest neighbours (Å) after each atom.
Space group R-3m (No. 166, hexagonal axes)
Inequivalent atoms, fractional coordinates:
1 Sm 0.0000 0.0000 0.0914 x6  3 Tm 3.54, 6 Sm 3.59, 3 Y 3.59
2 Sm 0.0000 0.0000 0.1822 x6  3 Tm 3.55, 9 Sm 3.59-3.63
3 Sm 0.0000 0.0000 0.3638 x6  6 Y 3.59, 6 Sm 3.59
4 Y 0.0000 0.0000 0.0000 x3  6 Sm 3.59, 6 Y 3.59
5 Y 0.0000 0.0000 0.2724 x6  6 Sm 3.59, 6 Y 3.59
6 Tm 0.0000 0.0000 0.4546 x6  6 Sm 3.54-3.55, 6 Tm 3.59

Its total energy is -169.41 eV per cell. Its size of the total moment is 0.00 μB/cell. For the energy of formation from the pure elements, the calculation gives 0.016 eV per atom.

***

> What is the formula in the first record?

Sm5Y4Tm